A relaxed NaSn4Se8 crystal. Source: Alexandria, functional PBE.

E_form (uncorrected), kJ/mol of formula units: -578
Magnetization, μB per atom: 0.000
N(E_F), states/eV/atom: 0.176

Cell: 7.8299 7.8299 22.4287 Å, 90.00 90.00 120.00°
Space group R-3m (No. 166, hexagonal axes)
Inequivalent atoms, fractional coordinates:
Na  0.0000  0.0000  0.0000 (multiplicity 3)
Sn  0.0000  0.0000  0.5000 (multiplicity 3)
Sn  0.0000  0.5000  0.5000 (multiplicity 9)
Se  0.0000  0.0000  0.2373 (multiplicity 6)
Se  0.0065  0.5033  0.7619 (multiplicity 18)